1.
## Zn2SbP (PBEsol)

Data for an optimized crystal structure of Zn2SbP.

As for the crystal system: orthorhombic. The calculated volume comes out at 19.16 Å³/atom.

It has space group Pmm2 (No. 25), with a = 3.074 Å, b = 3.771 Å, c = 6.612 Å, α = 90.00°, β = 90.00° and γ = 90.00°. The asymmetric unit holds Zn at (0.000, 0.000, 0.000), Zn at (0.500, 0.500, 0.253), Sb at (0.500, 0.500, 0.778) and P at (0.000, 0.000, 0.358).

***

2.
## ZnSbP2 (PBEsol)

Data for an optimized crystal structure of ZnSbP2.

As for the crystal system: tetragonal. The calculated volume comes out at 18.26 Å³/atom.

It has space group I-4m2 (No. 119), with a = 3.778 Å, b = 3.778 Å, c = 10.233 Å, α = 90.00°, β = 90.00° and γ = 90.00°. The asymmetric unit holds Zn at (0.000, 0.000, 0.000), Sb at (0.000, 0.500, 0.750), P at (0.000, 0.000, 0.500) and P at (0.000, 0.500, 0.250).

***

Relative energy among the computed polymorphs per entry: 0.00 1.36 eV per formula unit
Raw formation energy per entry: 161.0 473.4 meV/atom